This record from Alexandria describes crystalline PmGdOsPd at its relaxed geometry. The functional is PBE.

As for the final energy: -0.678 Ry/atom. The calculation puts the total magnetization at 7.1 μB/f.u. For the energy relative to the elements, the calculation gives -0.413 eV/atom.

Cell and atoms, written as POSCAR:
```
PmGdOsPd
1.0
4.9652 0.0000 0.0000
2.4826 4.3000 0.0000
2.4826 1.4333 4.0541
Gd Os Pd Pm
1 1 1 1
Cartesian
2.4826 1.4333 1.0135
4.9652 2.8667 2.0270
0.0000 0.0000 0.0000
7.4478 4.3000 3.0405
```

This record from Alexandria describes crystalline Ce2Mg5Pb4 at its relaxed geometry. The functional is PBE.

As for the final energy: -0.234 Ry/atom. The calculation puts the total magnetization at 2.5 μB/f.u. For the energy relative to the elements, the calculation gives -0.031 eV/atom.

Cell and atoms, written as POSCAR:
```
Ce2Mg5Pb4
1.0
-1.3056 -2.2756 -5.6924
4.3312 -3.2526 -3.1439
-3.7823 -9.0599 1.0386
Ce Mg Pb
2 5 4
Cartesian
-2.0016 -4.0375 -4.8284
-3.0863 -7.2980 0.1746
-0.6528 -1.1378 -2.8462
2.1656 -1.6263 -1.5719
1.5128 -2.7641 -4.4181
-0.0519 -6.7251 -2.4758
-0.7047 -7.8629 -5.3219
-0.7208 -10.7135 -5.9041
-0.0359 -3.8746 -1.8936
1.3867 -5.8931 -4.8637
-2.1434 -8.6950 -2.9340
```

This record from Alexandria describes crystalline SmHo4Pt4 at its relaxed geometry. The functional is PBE.

As for the final energy: -0.463 Ry/atom. The calculation puts the total magnetization at 0.0 μB/f.u. For the energy relative to the elements, the calculation gives -1.055 eV/atom.

Cell and atoms, written as POSCAR:
```
SmHo4Pt4
1.0
5.7088 0.0000 0.0000
0.0000 9.0634 0.0000
0.0000 0.0000 9.0634
Sm Ho Pt
2 8 8
Cartesian
0.0000 0.0000 0.0000
2.8544 4.5317 4.5317
2.3863 2.9944 8.1673
5.2407 5.4277 7.5261
2.3863 6.0690 0.8961
0.4681 1.5373 5.4277
3.3225 8.1673 6.0690
0.4681 7.5261 3.6356
5.2407 3.6356 1.5373
3.3225 0.8961 2.9944
3.3202 7.1553 3.3893
3.3202 1.9080 5.6741
0.4658 7.9210 6.4397
5.2430 2.6237 7.9210
5.2430 6.4397 1.1424
2.3886 3.3893 1.9080
2.3886 5.6741 7.1553
0.4658 1.1424 2.6237
```

This record from Alexandria describes crystalline Sm2MgAl2Rh5 at its relaxed geometry. The functional is PBE.

As for the final energy: -0.462 Ry/atom. The calculation puts the total magnetization at 0.0 μB/f.u. For the energy relative to the elements, the calculation gives -0.765 eV/atom.

Cell and atoms, written as POSCAR:
```
Sm2MgAl2Rh5
1.0
3.4657 0.0000 0.0000
0.0000 10.0647 0.0000
0.0000 0.0000 10.0647
Sm Mg Al Rh
4 2 4 10
Cartesian
0.0000 6.8009 1.7685
0.0000 3.2638 8.2962
0.0000 1.7685 3.2638
0.0000 8.2962 6.8009
0.0000 0.0000 0.0000
0.0000 5.0324 5.0324
0.0000 1.2330 6.2653
0.0000 8.8317 3.7994
0.0000 6.2653 8.8317
0.0000 3.7994 1.2330
1.7328 2.1039 0.6747
1.7328 7.9608 9.3900
1.7328 0.6747 7.9608
1.7328 7.1363 4.3577
1.7328 9.3900 2.1039
1.7328 2.9284 5.7070
1.7328 5.7070 7.1363
1.7328 4.3577 2.9284
1.7328 5.0324 0.0000
1.7328 0.0000 5.0324
```

This record from Alexandria describes crystalline Mn3TlBr8 at its relaxed geometry. The functional is PBE.

As for the final energy: -0.316 Ry/atom. The calculation puts the total magnetization at 14.6 μB/f.u.

Cell and atoms, written as POSCAR:
```
Mn3TlBr8
1.0
-2.9366 -0.7700 -7.4510
4.5253 -5.8479 3.1648
-7.7006 1.2739 2.9033
Mn Tl Br
3 1 8
Cartesian
-1.4683 -0.3850 -3.7255
0.7944 -3.3089 -2.1431
2.2627 -2.9239 1.5824
0.0000 0.0000 0.0000
-4.4359 -2.2285 1.9785
-1.6760 -3.1155 -3.3615
-6.6803 0.6069 0.2065
-8.0190 0.2559 -3.1904
-5.9545 -2.4119 -1.7480
-0.1573 -2.9320 0.3650
1.9072 -5.5998 1.8074
0.5684 -5.9509 -1.5895
```

This record from Alexandria describes crystalline GdDyInRu at its relaxed geometry. The functional is PBE.

As for the final energy: -0.587 Ry/atom. The calculation puts the total magnetization at 7.1 μB/f.u. For the energy relative to the elements, the calculation gives -0.316 eV/atom.

Cell and atoms, written as POSCAR:
```
GdDyInRu
1.0
5.0840 0.0000 0.0000
2.5420 4.4029 0.0000
2.5420 1.4676 4.1511
Ru Gd In Dy
1 1 1 1
Cartesian
7.6260 4.4029 3.1133
0.0000 0.0000 0.0000
2.5420 1.4676 1.0378
5.0840 2.9352 2.0755
```